1.
VASP calculation (PBE-GGA) on a relaxed Sr2CaTbTe4 crystal. Values from VASP.

Quantum ESPRESSO input file:
```
&SYSTEM
  ibrav = 0, nat = 8, ntyp = 4
/
ATOMIC_SPECIES
Sr 87.62 Sr.upf
Ca 40.08 Ca.upf
Tb 158.93 Tb.upf
Te 127.60 Te.upf
CELL_PARAMETERS angstrom
7.924 0.000 0.000
0.000 4.556 0.000
-2.624 0.000 7.527
ATOMIC_POSITIONS angstrom
Sr 0.000 0.000 0.000
Sr 3.962 2.278 0.000
Ca -1.312 2.278 3.763
Tb 2.650 0.000 3.763
Te 0.043 0.000 5.524
Te 1.351 2.278 2.014
Te 3.949 2.278 5.513
Te 5.257 0.000 2.003
```

Results
Formation energy (no corrections)   -1.593 eV/atom

2.
VASP calculation (PBE-GGA) on a relaxed Sr3CaTb3Te8 crystal. Values from VASP.

Quantum ESPRESSO input file:
```
&SYSTEM
  ibrav = 0, nat = 15, ntyp = 4
/
ATOMIC_SPECIES
Sr 87.62 Sr.upf
Ca 40.08 Ca.upf
Tb 158.93 Tb.upf
Te 127.60 Te.upf
CELL_PARAMETERS angstrom
4.486 2.590 7.596
-4.486 2.590 7.596
0.000 -5.180 7.596
ATOMIC_POSITIONS angstrom
Sr -2.243 -1.295 7.596
Sr -2.243 1.295 15.193
Sr 0.000 2.590 7.596
Ca 0.000 0.000 11.394
Tb -4.486 0.000 11.394
Tb -2.243 1.295 3.798
Tb 2.243 1.295 3.798
Te -2.310 -1.334 13.169
Te 0.000 0.000 5.555
Te 0.000 -2.667 9.619
Te -2.310 1.334 9.619
Te 2.310 -1.334 13.169
Te 0.000 2.667 13.169
Te 0.000 0.000 17.233
Te 2.310 1.334 9.619
```

Results
Formation energy (no corrections)   -1.544 eV/atom

3.
VASP calculation (PBE-GGA) on a relaxed SrCa2TbTl4 crystal. Values from VASP.

Quantum ESPRESSO input file:
```
&SYSTEM
  ibrav = 0, nat = 8, ntyp = 4
/
ATOMIC_SPECIES
Sr 87.62 Sr.upf
Ca 40.08 Ca.upf
Tb 158.93 Tb.upf
Tl 204.38 Tl.upf
CELL_PARAMETERS angstrom
2.769 1.599 9.059
-2.769 1.599 9.059
0.000 -3.197 9.059
ATOMIC_POSITIONS angstrom
Sr 0.000 0.000 0.000
Ca 0.000 0.000 6.791
Ca 0.000 0.000 20.386
Tb 0.000 0.000 13.588
Tl 0.000 0.000 3.451
Tl 0.000 0.000 10.311
Tl 0.000 0.000 16.866
Tl 0.000 0.000 23.726
```

Results
Energy relative to the elements   -403 meV per atom

4.
VASP calculation (PBE-GGA) on a relaxed SrCaTbTl crystal. Values from VASP.

Quantum ESPRESSO input file:
```
&SYSTEM
  ibrav = 0, nat = 4, ntyp = 4
/
ATOMIC_SPECIES
Sr 87.62 Sr.upf
Ca 40.08 Ca.upf
Tb 158.93 Tb.upf
Tl 204.38 Tl.upf
CELL_PARAMETERS angstrom
0.000 4.073 4.073
4.073 0.000 4.073
4.073 4.073 0.000
ATOMIC_POSITIONS angstrom
Sr 0.000 0.000 0.000
Ca 6.110 6.110 6.110
Tb 4.073 4.073 4.073
Tl 2.037 2.037 2.037
```

Results
Energy relative to the elements   -52 meV per atom

5.
VASP calculation (PBE-GGA) on a relaxed Sr4CaTc2 crystal. Values from VASP.

Quantum ESPRESSO input file:
```
&SYSTEM
  ibrav = 0, nat = 7, ntyp = 3
/
ATOMIC_SPECIES
Sr 87.62 Sr.upf
Ca 40.08 Ca.upf
Tc 98.00 Tc.upf
CELL_PARAMETERS angstrom
-3.150 3.150 7.606
3.150 -3.150 7.606
3.150 3.150 -7.606
ATOMIC_POSITIONS angstrom
Sr 3.150 0.000 0.000
Sr 0.000 0.000 3.503
Sr 0.000 3.150 0.000
Sr 0.000 0.000 11.708
Ca 0.000 0.000 0.000
Tc 0.000 0.000 6.538
Tc 0.000 0.000 8.673
```

Results
Energy relative to the elements   970 meV per atom

6.
VASP calculation (PBE-GGA) on a relaxed Sr2CaTc crystal. Values from VASP.

Quantum ESPRESSO input file:
```
&SYSTEM
  ibrav = 0, nat = 4, ntyp = 3
/
ATOMIC_SPECIES
Sr 87.62 Sr.upf
Ca 40.08 Ca.upf
Tc 98.00 Tc.upf
CELL_PARAMETERS angstrom
1.877 1.084 11.558
-1.877 1.084 11.558
0.000 -2.167 11.558
ATOMIC_POSITIONS angstrom
Sr 0.000 0.000 7.948
Sr 0.000 0.000 26.725
Ca 0.000 0.000 0.000
Tc 0.000 0.000 17.337
```

Results
Energy relative to the elements   724 meV per atom

7.
VASP calculation (PBE-GGA) on a relaxed SrCaTc2 crystal. Values from VASP.

Quantum ESPRESSO input file:
```
&SYSTEM
  ibrav = 0, nat = 4, ntyp = 3
/
ATOMIC_SPECIES
Sr 87.62 Sr.upf
Ca 40.08 Ca.upf
Tc 98.00 Tc.upf
CELL_PARAMETERS angstrom
4.050 0.000 0.000
0.000 4.050 0.000
0.000 0.000 5.062
ATOMIC_POSITIONS angstrom
Sr 0.000 0.000 0.000
Ca 2.025 2.025 0.000
Tc 0.000 2.025 2.531
Tc 2.025 0.000 2.531
```

Results
Energy relative to the elements   981 meV per atom

8.
VASP calculation (PBE-GGA) on a relaxed SrCaTc3 crystal. Values from VASP.

Quantum ESPRESSO input file:
```
&SYSTEM
  ibrav = 0, nat = 5, ntyp = 3
/
ATOMIC_SPECIES
Sr 87.62 Sr.upf
Ca 40.08 Ca.upf
Tc 98.00 Tc.upf
CELL_PARAMETERS angstrom
4.907 0.000 0.000
0.000 4.907 0.000
0.000 0.000 4.907
ATOMIC_POSITIONS angstrom
Sr 0.000 0.000 0.000
Ca 2.453 2.453 2.453
Tc 0.000 2.453 2.453
Tc 2.453 0.000 2.453
Tc 2.453 2.453 0.000
```

Results
Energy relative to the elements   2098 meV per atom

9.
VASP calculation (PBE-GGA) on a relaxed Sr2CaTc crystal. Values from VASP.

Quantum ESPRESSO input file:
```
&SYSTEM
  ibrav = 0, nat = 4, ntyp = 3
/
ATOMIC_SPECIES
Sr 87.62 Sr.upf
Ca 40.08 Ca.upf
Tc 98.00 Tc.upf
CELL_PARAMETERS angstrom
3.692 0.000 0.000
0.000 3.692 0.000
0.000 0.000 10.343
ATOMIC_POSITIONS angstrom
Sr 0.000 0.000 0.000
Sr 1.846 1.846 3.525
Ca 1.846 1.846 7.124
Tc 0.000 0.000 5.464
```

Results
Energy relative to the elements   555 meV per atom

10.
VASP calculation (PBE-GGA) on a relaxed Sr2CaTc crystal. Values from VASP.

Quantum ESPRESSO input file:
```
&SYSTEM
  ibrav = 0, nat = 4, ntyp = 3
/
ATOMIC_SPECIES
Sr 87.62 Sr.upf
Ca 40.08 Ca.upf
Tc 98.00 Tc.upf
CELL_PARAMETERS angstrom
-2.660 2.660 4.440
2.660 -2.660 4.440
2.660 2.660 -4.440
ATOMIC_POSITIONS angstrom
Sr 0.000 0.000 0.000
Sr 0.000 2.660 2.220
Ca 0.000 0.000 4.440
Tc 2.660 0.000 2.220
```

Results
Energy relative to the elements   711 meV per atom

11.
VASP calculation (PBE-GGA) on a relaxed Sr2CaTc crystal. Values from VASP.

Quantum ESPRESSO input file:
```
&SYSTEM
  ibrav = 0, nat = 4, ntyp = 3
/
ATOMIC_SPECIES
Sr 87.62 Sr.upf
Ca 40.08 Ca.upf
Tc 98.00 Tc.upf
CELL_PARAMETERS angstrom
5.110 0.000 0.000
0.000 5.110 0.000
0.000 0.000 4.983
ATOMIC_POSITIONS angstrom
Sr 0.000 2.555 0.000
Sr 2.555 0.000 0.000
Ca 0.000 0.000 2.491
Tc 2.555 2.555 2.491
```

Results
Energy relative to the elements   744 meV per atom

12.
VASP calculation (PBE-GGA) on a relaxed SrCaTc4 crystal. Values from VASP.

Quantum ESPRESSO input file:
```
&SYSTEM
  ibrav = 0, nat = 6, ntyp = 3
/
ATOMIC_SPECIES
Sr 87.62 Sr.upf
Ca 40.08 Ca.upf
Tc 98.00 Tc.upf
CELL_PARAMETERS angstrom
0.000 3.874 3.874
3.874 0.000 3.874
3.874 3.874 0.000
ATOMIC_POSITIONS angstrom
Sr 0.000 0.000 0.000
Ca 1.937 1.937 1.937
Tc 4.841 2.907 2.907
Tc 2.907 4.841 2.907
Tc 2.907 2.907 4.841
Tc 4.841 4.841 4.841
```

Results
Energy relative to the elements   423 meV per atom

13.
VASP calculation (PBE-GGA) on a relaxed SrCaTc2 crystal. Values from VASP.

Quantum ESPRESSO input file:
```
&SYSTEM
  ibrav = 0, nat = 4, ntyp = 3
/
ATOMIC_SPECIES
Sr 87.62 Sr.upf
Ca 40.08 Ca.upf
Tc 98.00 Tc.upf
CELL_PARAMETERS angstrom
3.581 -2.069 0.000
3.581 2.069 0.000
-2.384 0.000 8.376
ATOMIC_POSITIONS angstrom
Sr 0.000 0.000 0.000
Ca 4.783 0.000 3.833
Tc 0.005 0.000 6.134
Tc 2.393 0.000 5.844
```

Results
Energy relative to the elements   237 meV per atom

14.
VASP calculation (PBE-GGA) on a relaxed Sr4CaTc crystal. Values from VASP.

Quantum ESPRESSO input file:
```
&SYSTEM
  ibrav = 0, nat = 6, ntyp = 3
/
ATOMIC_SPECIES
Sr 87.62 Sr.upf
Ca 40.08 Ca.upf
Tc 98.00 Tc.upf
CELL_PARAMETERS angstrom
0.000 5.156 5.156
5.156 0.000 5.156
5.156 5.156 0.000
ATOMIC_POSITIONS angstrom
Sr 1.282 1.282 1.282
Sr 3.874 3.874 1.282
Sr 3.874 1.282 3.874
Sr 1.282 3.874 3.874
Ca 5.156 5.156 5.156
Tc 7.734 7.734 7.734
```

Results
Energy relative to the elements   970 meV per atom

15.
VASP calculation (PBE-GGA) on a relaxed Sr2CaTc crystal. Values from VASP.

Quantum ESPRESSO input file:
```
&SYSTEM
  ibrav = 0, nat = 4, ntyp = 3
/
ATOMIC_SPECIES
Sr 87.62 Sr.upf
Ca 40.08 Ca.upf
Tc 98.00 Tc.upf
CELL_PARAMETERS angstrom
3.700 0.000 0.000
0.000 3.700 0.000
0.000 0.000 10.312
ATOMIC_POSITIONS angstrom
Sr 0.000 0.000 1.909
Sr 0.000 0.000 8.403
Ca 1.850 1.850 5.156
Tc 1.850 1.850 0.000
```

Results
Energy relative to the elements   601 meV per atom

16.
VASP calculation (PBE-GGA) on a relaxed Sr2CaTc crystal. Values from VASP.

Quantum ESPRESSO input file:
```
&SYSTEM
  ibrav = 0, nat = 4, ntyp = 3
/
ATOMIC_SPECIES
Sr 87.62 Sr.upf
Ca 40.08 Ca.upf
Tc 98.00 Tc.upf
CELL_PARAMETERS angstrom
-1.775 2.576 8.294
1.775 -2.576 8.294
1.775 2.576 -8.294
ATOMIC_POSITIONS angstrom
Sr 0.000 0.000 2.594
Sr 0.000 0.000 13.993
Ca 0.000 2.576 0.000
Tc 1.775 0.000 0.000
```

Results
Energy relative to the elements   604 meV per atom

17.
VASP calculation (PBE-GGA) on a relaxed SrCaTc2 crystal. Values from VASP.

Quantum ESPRESSO input file:
```
&SYSTEM
  ibrav = 0, nat = 4, ntyp = 3
/
ATOMIC_SPECIES
Sr 87.62 Sr.upf
Ca 40.08 Ca.upf
Tc 98.00 Tc.upf
CELL_PARAMETERS angstrom
1.582 0.913 10.013
-1.582 0.913 10.013
0.000 -1.826 10.013
ATOMIC_POSITIONS angstrom
Sr 0.000 0.000 0.000
Ca 0.000 0.000 15.020
Tc 0.000 0.000 7.446
Tc 0.000 0.000 22.594
```

Results
Energy relative to the elements   1116 meV per atom

18.
VASP calculation (PBE-GGA) on a relaxed SrCaTc2 crystal. Values from VASP.

Quantum ESPRESSO input file:
```
&SYSTEM
  ibrav = 0, nat = 4, ntyp = 3
/
ATOMIC_SPECIES
Sr 87.62 Sr.upf
Ca 40.08 Ca.upf
Tc 98.00 Tc.upf
CELL_PARAMETERS angstrom
3.888 0.000 0.000
0.000 3.888 0.000
0.000 0.000 6.750
ATOMIC_POSITIONS angstrom
Sr 0.000 0.000 0.000
Ca 0.000 0.000 3.375
Tc 1.944 1.944 2.263
Tc 1.944 1.944 4.488
```

Results
Energy relative to the elements   769 meV per atom

19.
VASP calculation (PBE-GGA) on a relaxed SrCaTc2 crystal. Values from VASP.

Quantum ESPRESSO input file:
```
&SYSTEM
  ibrav = 0, nat = 4, ntyp = 3
/
ATOMIC_SPECIES
Sr 87.62 Sr.upf
Ca 40.08 Ca.upf
Tc 98.00 Tc.upf
CELL_PARAMETERS angstrom
-2.028 2.028 5.056
2.028 -2.028 5.056
2.028 2.028 -5.056
ATOMIC_POSITIONS angstrom
Sr 0.000 0.000 0.000
Ca 0.000 0.000 5.056
Tc 2.028 0.000 2.528
Tc 0.000 2.028 2.528
```

Results
Energy relative to the elements   976 meV per atom

20.
VASP calculation (PBE-GGA) on a relaxed Sr2CaTc crystal. Values from VASP.

Quantum ESPRESSO input file:
```
&SYSTEM
  ibrav = 0, nat = 4, ntyp = 3
/
ATOMIC_SPECIES
Sr 87.62 Sr.upf
Ca 40.08 Ca.upf
Tc 98.00 Tc.upf
CELL_PARAMETERS angstrom
1.892 1.092 11.468
-1.892 1.092 11.468
0.000 -2.185 11.468
ATOMIC_POSITIONS angstrom
Sr 0.000 0.000 0.000
Sr 0.000 0.000 7.726
Ca 0.000 0.000 26.505
Tc 0.000 0.000 17.039
```

Results
Energy relative to the elements   700 meV per atom

Summary of calculated density in g/cm3
5.406; 5.646; 7.896; 6.032; 3.227; 3.689; 6.474; 5.927; 3.690; 4.140; 3.999; 7.420; 4.331; 2.960; 3.685; 3.430; 6.195; 5.267; 6.463; 3.658
(order as listed above)